DFT (PBE) results for TiCo2Cl2 after structural relaxation.

abc: 3.1206 3.1206 21.8642
angles: 90.00 90.00 90.00
With the nearest neighbours (Å) after each atom.
Element x y z (fractional)
Ti1 0.0000 0.0000 0.0000  8 Cl 2.66
Ti2 0.5000 0.5000 0.5000  8 Cl 2.66
Co1 0.0000 0.5000 0.2500  4 Co 2.21
Co2 0.0000 0.5000 0.7500  4 Co 2.21
Co3 0.5000 0.0000 0.2500  4 Co 2.21
Co4 0.5000 0.0000 0.7500  4 Co 2.21
Cl1 0.0000 0.0000 0.4322  4 Ti 2.66, 1 Cl 2.96
Cl2 0.0000 0.0000 0.5678  4 Ti 2.66, 1 Cl 2.96
Cl3 0.5000 0.5000 0.0678  4 Ti 2.66, 1 Cl 2.96
Cl4 0.5000 0.5000 0.9322  4 Ti 2.66, 1 Cl 2.96

Values from the calculation:
The final energy is -5.2263 eV/atom. The value obtained for the polymorph energy (0 for the lowest one) is 0.00 kcal/mol of atoms. Its formation energy from raw total energies is -66 meV per atom. Its magnetization is 0.823 μB per atom. The value obtained for the density is 3.69 g/cm3.